(1)
A relaxed PmSbN2O crystal. Source: the Open Quantum Materials Database, functional PBE-GGA.

Geometry as POSCAR:
```
PmSbN2O
1.0
5.737 0.000 0.000
0.000 8.160 0.000
0.000 0.000 5.607
N Pm O Sb
8 4 4 4
Cartesian
1.173 4.516 3.943
1.696 3.643 1.140
4.564 3.643 1.664
4.564 0.436 1.664
4.041 7.723 4.467
4.041 4.516 4.467
1.173 7.723 3.943
1.696 0.436 1.140
0.305 2.040 2.690
5.432 6.120 2.917
3.173 2.040 0.113
2.564 6.120 5.494
0.157 6.120 0.574
3.025 6.120 2.229
5.581 2.040 5.033
2.712 2.040 3.378
0.000 4.080 0.000
0.000 0.000 0.000
2.869 4.080 2.804
2.869 0.000 2.804
```

Properties
The calculation puts the calculated total energy at -7.025 eV/atom. As for the symmetry: No. 62.

=====

(2)
A relaxed LiScNiB crystal. Source: the Open Quantum Materials Database, functional PBE-GGA.

Geometry as POSCAR:
```
LiScNiB
1.0
0.000 2.845 2.845
2.845 0.000 2.845
2.845 2.845 0.000
Sc B Ni Li
1 1 1 1
Cartesian
2.845 2.845 2.845
0.000 0.000 0.000
1.423 1.423 1.423
4.268 4.268 4.268
```

Properties
As for the symmetry: No. 216. The distance to the lowest polymorph of the same formula comes out at 111 meV per atom.

=====

(3)
A relaxed Y4PbAuN2 crystal. Source: the Open Quantum Materials Database, functional PBE-GGA.

Geometry as POSCAR:
```
Y4PbAuN2
1.0
3.559 0.000 0.000
-1.779 3.082 0.000
0.000 0.000 15.035
Y Pb N Au
4 1 2 1
Cartesian
0.000 0.000 2.206
1.779 1.027 10.136
0.000 0.000 12.828
1.779 1.027 4.899
0.000 0.000 7.517
0.000 2.055 11.348
0.000 2.055 3.686
1.779 1.027 0.000
```

Properties
The calculation puts the calculated total energy at -7.296 eV/atom. As for the symmetry: No. 187.

=====

(4)
A relaxed Dy2Te5 crystal. Source: the Open Quantum Materials Database, functional PBE-GGA.

Geometry as POSCAR:
```
Dy2Te5
1.0
2.187 -22.047 0.000
2.187 22.047 0.000
0.000 0.000 4.376
Te Dy
10 4
Cartesian
2.187 -11.024 3.282
2.187 -20.061 3.282
2.187 20.061 1.094
2.187 1.986 1.094
2.187 -1.986 3.282
2.187 16.645 3.282
2.187 7.671 3.282
2.187 -7.671 1.094
2.187 -16.645 1.094
2.187 11.024 1.094
2.187 -4.449 1.094
2.187 -13.492 1.094
2.187 4.449 3.282
2.187 13.492 3.282
```

Properties
As for the symmetry: No. 63. The distance to the lowest polymorph of the same formula comes out at 0 meV per atom.

=====

(5)
A relaxed Pm2TeP crystal. Source: the Open Quantum Materials Database, functional PBE-GGA.

Geometry as POSCAR:
```
Pm2TeP
1.0
-1.223 -3.979 -1.107
-0.261 -1.078 4.162
-5.824 1.765 0.093
P Te Pm
1 1 2
Cartesian
-3.654 -1.646 1.574
0.000 0.000 0.000
-0.742 -2.529 1.527
-2.912 0.882 0.046
```

Properties
As for the symmetry: No. 123. The distance to the lowest polymorph of the same formula comes out at 123 meV per atom.

=====

(6)
A relaxed ScFeSnPt crystal. Source: the Open Quantum Materials Database, functional PBE-GGA.

Geometry as POSCAR:
```
ScFeSnPt
1.0
1.376 -1.732 3.983
2.304 2.605 2.942
-1.975 1.353 3.876
Sn Fe Sc Pt
1 1 1 1
Cartesian
0.000 0.000 0.000
1.279 1.670 8.101
0.853 1.113 5.400
0.426 0.557 2.700
```

Properties
As for the symmetry: No. 216. The distance to the lowest polymorph of the same formula comes out at 0 meV per atom.

=====

(7)
A relaxed PrTlZnS3 crystal. Source: the Open Quantum Materials Database, functional PBE-GGA.

Geometry as POSCAR:
```
PrTlZnS3
1.0
8.398 -2.095 0.000
8.398 2.095 0.000
-2.988 0.000 8.507
Zn S Pr Tl
2 6 2 2
Cartesian
6.035 0.000 6.736
7.774 0.000 1.772
3.843 0.000 5.867
8.301 0.000 7.588
0.000 0.000 0.000
5.508 0.000 0.919
6.905 0.000 4.254
9.966 0.000 2.640
11.189 0.000 7.437
2.620 0.000 1.071
13.317 0.000 3.583
0.492 0.000 4.925
```

Properties
As for the symmetry: No. 12. The distance to the lowest polymorph of the same formula comes out at 149 meV per atom.

=====

(8)
A relaxed YAl2Ga2Ni crystal. Source: the Open Quantum Materials Database, functional PBE-GGA.

Geometry as POSCAR:
```
YAl2Ga2Ni
1.0
2.031 -7.648 0.000
2.031 7.648 0.000
0.000 0.000 6.667
Al Ni Y Ga
4 2 2 4
Cartesian
2.031 -4.749 0.355
2.031 4.749 6.311
2.031 -4.749 2.978
2.031 4.749 3.688
2.031 3.457 1.667
2.031 -3.457 5.000
2.031 -1.776 1.667
2.031 1.776 5.000
2.031 -1.127 5.000
0.000 0.000 0.000
0.000 0.000 3.333
2.031 1.127 1.667
```

Properties
As for the symmetry: No. 63. The distance to the lowest polymorph of the same formula comes out at 0 meV per atom.

=====

(9)
A relaxed LuTlCuIr crystal. Source: the Open Quantum Materials Database, functional PBE-GGA.

Geometry as POSCAR:
```
LuTlCuIr
1.0
0.000 3.347 3.347
3.347 0.000 3.347
3.347 3.347 0.000
Tl Lu Cu Ir
1 1 1 1
Cartesian
0.000 0.000 0.000
1.673 1.673 1.673
5.020 5.020 5.020
3.347 3.347 3.347
```

Properties
As for the symmetry: No. 216. The distance to the lowest polymorph of the same formula comes out at 163 meV per atom.

=====

(10)
A relaxed Ho5Co2Hg crystal. Source: the Open Quantum Materials Database, functional PBE-GGA.

Geometry as POSCAR:
```
Ho5Co2Hg
1.0
-3.777 3.777 6.612
3.777 -3.777 6.612
3.777 3.777 -6.612
Ho Co Hg
10 4 2
Cartesian
1.217 4.994 1.755
2.561 -1.217 8.367
2.561 1.217 -1.755
2.561 1.217 1.755
1.217 4.994 -1.755
0.000 0.000 0.000
1.217 2.561 4.857
2.561 -1.217 4.857
0.000 0.000 6.612
1.217 2.561 8.367
-1.023 2.754 6.612
1.023 2.754 0.000
2.754 1.023 6.612
4.800 1.023 0.000
0.000 0.000 9.918
0.000 0.000 3.306
```

Properties
The calculation puts the calculated total energy at -4.963 eV/atom. As for the symmetry: No. 140.

=====

(11)
A relaxed NbCd2Ni crystal. Source: the Open Quantum Materials Database, functional PBE-GGA.

Geometry as POSCAR:
```
NbCd2Ni
1.0
2.291 1.323 3.742
-2.291 1.323 3.742
0.000 -2.646 3.742
Cd Ni Nb
2 1 1
Cartesian
0.000 0.000 5.613
0.000 0.000 8.419
0.000 0.000 0.000
0.000 0.000 2.806
```

Properties
The calculation puts the calculated total energy at -4.130 eV/atom. As for the symmetry: No. 216.

=====

(12)
A relaxed Hf2HgMo2 crystal. Source: the Open Quantum Materials Database, functional PBE-GGA.

Geometry as POSCAR:
```
Hf2HgMo2
1.0
-2.126 2.126 5.937
2.126 -2.126 5.937
2.126 2.126 -5.937
Hf Hg Mo
2 1 2
Cartesian
0.000 2.126 2.969
2.126 0.000 2.969
0.000 0.000 0.000
0.000 0.000 7.099
0.000 0.000 4.776
```

Properties
As for the symmetry: No. 139. The distance to the lowest polymorph of the same formula comes out at 230 meV per atom.

=====

no.,spin magnetization (μB per formula unit)
1,0.0
2,0.0
3,0.1
4,0.0
5,0.0
6,1.2
7,0.0
8,0.0
9,0.0
10,0.0
11,0.0
12,0.0